{
  "formula": "Nd6Al2Hg",
  "functional": "PBE",
  "state": "optimized geometry",
  "lattice_angstrom": [[8.384, 0.059, -3.143], [-4.364, 7.395, -2.541], [-0.172, -0.059, 8.952]],
  "species": ["Nd", "Nd", "Nd", "Nd", "Nd", "Nd", "Nd", "Nd", "Nd", "Nd", "Nd", "Nd", "Al", "Al", "Al", "Al", "Hg", "Hg"],
  "fractional_positions": [[0.549, 0.729, 0.820], [0.451, 0.271, 0.180], [0.091, 0.271, 0.820], [0.909, 0.729, 0.180], [0.800, 0.751, 0.550], [0.200, 0.249, 0.450], [0.200, 0.751, 0.951], [0.800, 0.249, 0.049], [0.714, 0.389, 0.676], [0.286, 0.611, 0.324], [0.286, 0.962, 0.676], [0.714, 0.038, 0.324], [0.500, 0.378, 0.878], [0.500, 0.622, 0.122], [0.637, 0.000, 0.637], [0.363, 0.000, 0.363], [0.000, 0.500, 0.500], [0.000, 0.000, 0.000]],
  "formation_enthalpy_0k_ev_per_fu": -2.14
}

{
  "formula": "NdAlHg2",
  "functional": "PBE",
  "state": "optimized geometry",
  "lattice_angstrom": [[-2.479, 2.377, -3.036], [-8.066, -2.686, 4.482], [1.737, 5.895, 6.659]],
  "species": ["Nd", "Nd", "Nd", "Nd", "Al", "Al", "Al", "Al", "Hg", "Hg", "Hg", "Hg", "Hg", "Hg", "Hg", "Hg"],
  "fractional_positions": [[0.500, 0.500, 0.000], [0.500, 0.000, 0.000], [0.297, 0.750, 0.595], [0.703, 0.250, 0.405], [0.144, 0.476, 0.289], [0.856, 0.976, 0.711], [0.144, 0.024, 0.289], [0.856, 0.524, 0.711], [0.904, 0.250, 0.807], [0.939, 0.750, 0.877], [0.096, 0.750, 0.193], [0.061, 0.250, 0.123], [0.692, 0.594, 0.385], [0.308, 0.406, 0.615], [0.308, 0.094, 0.615], [0.692, 0.906, 0.385]],
  "formation_enthalpy_0k_ev_per_fu": -1.43
}

{
  "formula": "Nd4AlHgO",
  "functional": "PBE",
  "state": "optimized geometry",
  "lattice_angstrom": [[6.851, 0.000, 0.000], [0.000, 6.860, 0.000], [-3.425, 0.000, 8.057]],
  "species": ["Nd", "Nd", "Nd", "Nd", "Nd", "Nd", "Nd", "Nd", "Al", "Al", "Hg", "Hg", "O", "O"],
  "fractional_positions": [[0.925, 0.250, 0.850], [0.425, 0.750, 0.850], [0.075, 0.750, 0.150], [0.575, 0.250, 0.150], [0.500, 0.500, 0.500], [0.000, 0.000, 0.500], [0.500, 0.000, 0.500], [0.000, 0.500, 0.500], [0.617, 0.750, 0.234], [0.383, 0.250, 0.766], [0.116, 0.250, 0.232], [0.884, 0.750, 0.768], [0.246, 0.750, 0.491], [0.754, 0.250, 0.509]],
  "e_form_raw_ev_per_atom": -0.973
}

{
  "formula": "Nd2Al2HgPd5",
  "functional": "PBE",
  "state": "optimized geometry",
  "lattice_angstrom": [[3.534, 0.000, 0.000], [0.000, 10.461, 0.000], [0.000, 0.000, 10.461]],
  "species": ["Nd", "Nd", "Nd", "Nd", "Al", "Al", "Al", "Al", "Hg", "Hg", "Pd", "Pd", "Pd", "Pd", "Pd", "Pd", "Pd", "Pd", "Pd", "Pd"],
  "fractional_positions": [[0.000, 0.678, 0.178], [0.000, 0.322, 0.822], [0.000, 0.178, 0.322], [0.000, 0.822, 0.678], [0.000, 0.121, 0.621], [0.000, 0.879, 0.379], [0.000, 0.621, 0.879], [0.000, 0.379, 0.121], [0.000, 0.000, 0.000], [0.000, 0.500, 0.500], [0.500, 0.214, 0.060], [0.500, 0.786, 0.940], [0.500, 0.060, 0.786], [0.500, 0.714, 0.440], [0.500, 0.940, 0.214], [0.500, 0.286, 0.560], [0.500, 0.560, 0.714], [0.500, 0.440, 0.286], [0.500, 0.500, 0.000], [0.500, 0.000, 0.500]],
  "formation_enthalpy_0k_ev_per_fu": -6.55
}

{
  "formula": "Nd2Al4HgPd3",
  "functional": "PBE",
  "state": "optimized geometry",
  "lattice_angstrom": [[4.362, 0.000, 0.000], [0.000, 4.362, 0.000], [0.000, 0.000, 10.578]],
  "species": ["Nd", "Nd", "Al", "Al", "Al", "Al", "Hg", "Pd", "Pd", "Pd"],
  "fractional_positions": [[0.500, 0.000, 0.243], [0.000, 0.500, 0.757], [0.500, 0.500, 0.000], [0.000, 0.000, 0.000], [0.500, 0.000, 0.641], [0.000, 0.500, 0.359], [0.500, 0.500, 0.500], [0.000, 0.000, 0.500], [0.500, 0.000, 0.875], [0.000, 0.500, 0.125]],
  "formation_enthalpy_0k_ev_per_fu": -7.25
}

{
  "formula": "Nd2Al3HgPd4",
  "functional": "PBE",
  "state": "optimized geometry",
  "lattice_angstrom": [[4.321, 0.000, 0.000], [0.000, 4.321, 0.000], [0.000, 0.000, 10.817]],
  "species": ["Nd", "Nd", "Al", "Al", "Al", "Hg", "Pd", "Pd", "Pd", "Pd"],
  "fractional_positions": [[0.500, 0.000, 0.244], [0.000, 0.500, 0.756], [0.000, 0.000, 0.500], [0.500, 0.000, 0.882], [0.000, 0.500, 0.118], [0.500, 0.500, 0.500], [0.500, 0.500, 0.000], [0.000, 0.000, 0.000], [0.500, 0.000, 0.655], [0.000, 0.500, 0.345]],
  "formation_enthalpy_0k_ev_per_fu": -7.41
}

{
  "formula": "PmNdAlHg",
  "functional": "PBE",
  "state": "optimized geometry",
  "lattice_angstrom": [[5.365, 0.000, 0.000], [2.683, 4.646, 0.000], [2.683, 1.549, 4.381]],
  "species": ["Al", "Nd", "Hg", "Pm"],
  "fractional_positions": [[0.250, 0.250, 0.250], [0.500, 0.500, 0.500], [0.750, 0.750, 0.750], [0.000, 0.000, 0.000]],
  "formation_enthalpy_0k_ev_per_fu": -1.53
}

{
  "formula": "PmNdAlHg",
  "functional": "PBE",
  "state": "optimized geometry",
  "lattice_angstrom": [[3.603, 0.000, 0.000], [0.000, 3.603, 0.000], [0.000, 0.000, 8.213]],
  "species": ["Pm", "Nd", "Al", "Hg"],
  "fractional_positions": [[0.500, 0.500, 0.597], [0.500, 0.500, 0.118], [0.000, 0.000, 0.359], [0.000, 0.000, 0.854]],
  "formation_enthalpy_0k_ev_per_fu": -1.69
}

{
  "formula": "PrNdAlHg",
  "functional": "PBE",
  "state": "optimized geometry",
  "lattice_angstrom": [[-3.192, 3.854, -2.033], [-2.392, -0.722, -4.789], [-5.339, -0.775, -0.262]],
  "species": ["Pr", "Nd", "Hg", "Al"],
  "fractional_positions": [[0.000, 0.000, 0.000], [0.500, 0.500, 0.500], [0.250, 0.250, 0.250], [0.750, 0.750, 0.750]],
  "formation_enthalpy_0k_ev_per_fu": -1.50
}

{
  "formula": "PrNdAlHg",
  "functional": "PBE",
  "state": "optimized geometry",
  "lattice_angstrom": [[-2.522, -2.346, 1.158], [-0.405, -1.238, -3.392], [5.866, -5.636, 1.357]],
  "species": ["Pr", "Nd", "Al", "Hg"],
  "fractional_positions": [[0.500, 0.500, 0.118], [0.500, 0.500, 0.597], [0.000, 0.000, 0.359], [0.000, 0.000, 0.853]],
  "formation_enthalpy_0k_ev_per_fu": -1.66
}

{
  "formula": "Nd2Al3HgPt4",
  "functional": "PBE",
  "state": "optimized geometry",
  "lattice_angstrom": [[-2.414, 0.283, -3.376], [2.597, -2.507, -2.067], [-6.020, -9.154, 3.539]],
  "species": ["Nd", "Nd", "Al", "Al", "Al", "Hg", "Pt", "Pt", "Pt", "Pt"],
  "fractional_positions": [[0.500, 0.000, 0.250], [0.000, 0.500, 0.750], [0.000, 0.000, 0.500], [0.500, 0.000, 0.877], [0.000, 0.500, 0.123], [0.500, 0.500, 0.500], [0.500, 0.500, 0.000], [0.000, 0.000, 0.000], [0.500, 0.000, 0.663], [0.000, 0.500, 0.337]],
  "formation_enthalpy_0k_ev_per_fu": -9.39
}

{
  "formula": "Nd2Al4HgPt3",
  "functional": "PBE",
  "state": "optimized geometry",
  "lattice_angstrom": [[4.358, 0.000, 0.000], [0.000, 4.358, 0.000], [0.000, 0.000, 10.523]],
  "species": ["Nd", "Nd", "Al", "Al", "Al", "Al", "Hg", "Pt", "Pt", "Pt"],
  "fractional_positions": [[0.500, 0.000, 0.242], [0.000, 0.500, 0.758], [0.500, 0.500, 0.000], [0.000, 0.000, 0.000], [0.500, 0.000, 0.639], [0.000, 0.500, 0.361], [0.500, 0.500, 0.500], [0.000, 0.000, 0.500], [0.500, 0.000, 0.873], [0.000, 0.500, 0.127]],
  "formation_enthalpy_0k_ev_per_fu": -9.23
}